Er6InSi2 | PBE | optimized geometry

Output
* formation energy (no corrections): -0.5378 eV per atom

Cell lengths 8.431, 8.431, 8.431 Å; angles 112.06, 111.21, 105.23 degrees
Fractional positions:
Er: 0.038 0.242 0.796
Er: 0.185 0.277 0.462
Er: 0.185 0.723 0.908
Er: 0.320 0.024 0.703
Er: 0.320 0.617 0.297
Er: 0.446 0.242 0.204
Er: 0.554 0.758 0.796
Er: 0.680 0.383 0.703
Er: 0.680 0.976 0.297
Er: 0.815 0.277 0.092
Er: 0.815 0.723 0.538
Er: 0.962 0.758 0.204
In: 0.000 0.000 0.000
In: 0.500 0.500 0.000
Si: 0.117 0.617 0.500
Si: 0.366 0.000 0.366
Si: 0.634 0.000 0.634
Si: 0.883 0.383 0.500